No. 1
{
  "formula": "ThMnGa3",
  "functional": "GGA-PBE",
  "state": "optimized geometry",
  "lattice_angstrom": [[4.593, 0.000, 0.000], [0.000, 4.593, 0.000], [0.000, 0.000, 4.593]],
  "species": ["Mn", "Ga", "Ga", "Ga", "Th"],
  "fractional_positions": [[0.000, 0.000, 0.000], [0.000, 0.500, 0.000], [0.000, 0.000, 0.500], [0.500, 0.000, 0.000], [0.500, 0.500, 0.500]],
  "final_energy_ev_per_cell": -26.95,
  "sg": "Pm-3m",
  "dos_ef_per_ev_fu": 1.227,
  "e_form_ev_per_atom": -0.257
}

***

No. 2
{
  "formula": "Th6Mn2Ga",
  "functional": "GGA-PBE",
  "state": "optimized geometry",
  "lattice_angstrom": [[7.956, -0.140, -2.906], [-4.287, 6.941, -2.281], [-0.091, 0.140, 8.470]],
  "species": ["Th", "Th", "Th", "Th", "Th", "Th", "Th", "Th", "Th", "Th", "Th", "Th", "Mn", "Mn", "Mn", "Mn", "Ga", "Ga"],
  "fractional_positions": [[0.534, 0.723, 0.811], [0.466, 0.277, 0.189], [0.087, 0.277, 0.811], [0.913, 0.723, 0.189], [0.802, 0.753, 0.556], [0.198, 0.247, 0.444], [0.198, 0.753, 0.951], [0.802, 0.247, 0.049], [0.689, 0.362, 0.673], [0.311, 0.638, 0.327], [0.311, 0.985, 0.673], [0.689, 0.015, 0.327], [0.500, 0.396, 0.896], [0.500, 0.604, 0.104], [0.660, 0.000, 0.660], [0.340, 0.000, 0.340], [0.000, 0.500, 0.500], [0.000, 0.000, 0.000]],
  "final_energy_ev_per_cell": -132.36,
  "sg": "Immm",
  "dos_ef_per_ev_fu": 11.295,
  "e_form_ev_per_atom": -0.033
}

***

No. 3
{
  "formula": "ThMnGa4",
  "functional": "GGA-PBE",
  "state": "optimized geometry",
  "lattice_angstrom": [[-0.711, 2.740, 2.971], [-1.020, -5.187, 4.539], [7.445, 0.052, 1.734]],
  "species": ["Th", "Th", "Mn", "Mn", "Ga", "Ga", "Ga", "Ga", "Ga", "Ga", "Ga", "Ga"],
  "fractional_positions": [[0.000, 0.628, 0.750], [0.000, 0.372, 0.250], [0.000, 0.202, 0.750], [0.000, 0.798, 0.250], [0.000, 0.000, 0.500], [0.000, 0.000, 0.000], [0.500, 0.963, 0.750], [0.500, 0.037, 0.250], [0.500, 0.684, 0.068], [0.500, 0.316, 0.932], [0.500, 0.684, 0.432], [0.500, 0.316, 0.568]],
  "final_energy_ev_per_cell": -61.59,
  "sg": "Pmma",
  "dos_ef_per_ev_fu": 3.416,
  "e_form_ev_per_atom": -0.350
}

***

No. 4
{
  "formula": "ThMnGa2",
  "functional": "GGA-PBE",
  "state": "optimized geometry",
  "lattice_angstrom": [[-3.268, -0.727, 0.210], [-0.047, -0.730, -3.274], [1.554, -6.572, 1.443]],
  "species": ["Mn", "Ga", "Ga", "Th"],
  "fractional_positions": [[0.500, 0.500, 0.000], [0.000, 0.000, 0.808], [0.000, 0.000, 0.192], [0.500, 0.500, 0.500]],
  "final_energy_ev_per_cell": -23.42,
  "sg": "P4/mmm",
  "dos_ef_per_ev_fu": 3.526,
  "e_form_ev_per_atom": -0.194
}

***

No. 5
{
  "formula": "Th2MnGa6",
  "functional": "GGA-PBE",
  "state": "optimized geometry",
  "lattice_angstrom": [[-1.299, 3.409, -5.150], [-5.921, 1.862, -1.141], [-1.555, 6.091, 0.558]],
  "species": ["Th", "Th", "Mn", "Ga", "Ga", "Ga", "Ga", "Ga", "Ga"],
  "fractional_positions": [[0.250, 0.250, 0.250], [0.750, 0.750, 0.750], [0.000, 0.000, 0.000], [0.283, 0.717, 0.717], [0.283, 0.717, 0.283], [0.717, 0.283, 0.717], [0.717, 0.283, 0.283], [0.717, 0.717, 0.283], [0.283, 0.283, 0.717]],
  "final_energy_ev_per_cell": -46.56,
  "sg": "Fm-3m",
  "dos_ef_per_ev_fu": 3.484,
  "e_form_ev_per_atom": -0.488
}

***

No. 6
{
  "formula": "ThMnGa",
  "functional": "GGA-PBE",
  "state": "optimized geometry",
  "lattice_angstrom": [[3.328, 0.000, 0.000], [0.000, 3.328, 0.000], [-1.664, -1.664, 5.600]],
  "species": ["Mn", "Th", "Ga"],
  "fractional_positions": [[0.923, 0.923, 0.847], [0.612, 0.612, 0.223], [0.315, 0.315, 0.630]],
  "final_energy_ev_per_cell": -19.82,
  "sg": "I4mm",
  "dos_ef_per_ev_fu": 2.418,
  "e_form_ev_per_atom": -0.068
}

***

No. 7
{
  "formula": "ThMn3Ga3",
  "functional": "GGA-PBE",
  "state": "optimized geometry",
  "lattice_angstrom": [[-5.432, -3.593, 1.486], [0.526, -3.209, -5.835], [3.852, -4.628, 2.893]],
  "species": ["Mn", "Mn", "Mn", "Mn", "Mn", "Mn", "Ga", "Ga", "Ga", "Ga", "Ga", "Ga", "Th", "Th"],
  "fractional_positions": [[0.250, 0.000, 0.500], [0.000, 0.500, 0.250], [0.500, 0.750, 0.000], [0.750, 0.000, 0.500], [0.000, 0.500, 0.750], [0.500, 0.250, 0.000], [0.000, 0.250, 0.500], [0.000, 0.750, 0.500], [0.500, 0.000, 0.750], [0.750, 0.500, 0.000], [0.500, 0.000, 0.250], [0.250, 0.500, 0.000], [0.500, 0.500, 0.500], [0.000, 0.000, 0.000]],
  "final_energy_ev_per_cell": -82.03,
  "sg": "Pm-3n",
  "dos_ef_per_ev_fu": 3.597,
  "e_form_ev_per_atom": 0.428
}

***

No. 8
{
  "formula": "ThMnGa",
  "functional": "GGA-PBE",
  "state": "optimized geometry",
  "lattice_angstrom": [[-3.161, -0.162, 2.037], [1.794, -3.230, 2.525], [0.523, 4.292, 1.154]],
  "species": ["Mn", "Ga", "Th"],
  "fractional_positions": [[0.167, 0.333, 0.667], [0.166, 0.000, 0.000], [0.667, 0.667, 0.333]],
  "final_energy_ev_per_cell": -20.16,
  "sg": "P-6m2",
  "dos_ef_per_ev_fu": 4.265,
  "e_form_ev_per_atom": -0.182
}

***

No. 9
{
  "formula": "Ti2MnGa",
  "functional": "GGA-PBE",
  "state": "optimized geometry",
  "lattice_angstrom": [[4.388, 0.000, 0.000], [2.194, 3.800, 0.000], [2.194, 1.267, 3.583]],
  "species": ["Mn", "Ga", "Ti", "Ti"],
  "fractional_positions": [[0.500, 0.500, 0.500], [0.250, 0.250, 0.250], [0.000, 0.000, 0.000], [0.750, 0.750, 0.750]],
  "final_energy_ev_per_cell": -29.03,
  "sg": "F-43m",
  "dos_ef_per_ev_fu": 0.003,
  "e_form_ev_per_atom": -0.260
}

***

No. 10
{
  "formula": "Ti4MnGa3",
  "functional": "GGA-PBE",
  "state": "optimized geometry",
  "lattice_angstrom": [[-2.028, -1.655, -1.388], [1.083, -2.426, 1.311], [-8.758, 1.829, 10.622]],
  "species": ["Mn", "Ga", "Ga", "Ga", "Ti", "Ti", "Ti", "Ti"],
  "fractional_positions": [[0.500, 0.500, 0.000], [0.500, 0.500, 0.235], [0.500, 0.500, 0.500], [0.500, 0.500, 0.765], [0.000, 0.000, 0.897], [0.000, 0.000, 0.103], [0.000, 0.000, 0.366], [0.000, 0.000, 0.634]],
  "final_energy_ev_per_cell": -53.02,
  "sg": "P4/mmm",
  "dos_ef_per_ev_fu": 7.128,
  "e_form_ev_per_atom": -0.399
}

***

No. 11
{
  "formula": "Ti5Mn4Ga",
  "functional": "GGA-PBE",
  "state": "optimized geometry",
  "lattice_angstrom": [[3.024, 0.000, 0.000], [0.000, 3.024, 0.000], [0.000, 0.000, 15.097]],
  "species": ["Ti", "Ti", "Ti", "Ti", "Ti", "Mn", "Mn", "Mn", "Mn", "Ga"],
  "fractional_positions": [[0.500, 0.500, 0.114], [0.500, 0.500, 0.304], [0.500, 0.500, 0.500], [0.500, 0.500, 0.696], [0.500, 0.500, 0.886], [0.000, 0.000, 0.202], [0.000, 0.000, 0.402], [0.000, 0.000, 0.598], [0.000, 0.000, 0.798], [0.000, 0.000, 0.000]],
  "final_energy_ev_per_cell": -82.32,
  "sg": "P4/mmm",
  "dos_ef_per_ev_fu": 8.958,
  "e_form_ev_per_atom": -0.314
}

***

No. 12
{
  "formula": "TiMn2Ga",
  "functional": "GGA-PBE",
  "state": "optimized geometry",
  "lattice_angstrom": [[-2.494, 1.844, 0.769], [-1.718, -3.130, 1.932], [1.869, 1.094, 3.434]],
  "species": ["Mn", "Mn", "Ga", "Ti"],
  "fractional_positions": [[0.000, 0.000, 0.500], [0.000, 0.500, 0.000], [0.500, 0.000, 0.000], [0.500, 0.500, 0.500]],
  "final_energy_ev_per_cell": -30.36,
  "sg": "P4/mmm",
  "dos_ef_per_ev_fu": 1.354,
  "e_form_ev_per_atom": -0.274
}

***

No. 13
{
  "formula": "TiMn2Ga3",
  "functional": "GGA-PBE",
  "state": "optimized geometry",
  "lattice_angstrom": [[-1.648, 3.306, -1.112], [-3.331, -1.122, 1.601], [3.240, 3.029, 4.205]],
  "species": ["Ti", "Mn", "Mn", "Ga", "Ga", "Ga"],
  "fractional_positions": [[0.000, 0.000, 0.000], [0.000, 0.670, 0.340], [0.000, 0.330, 0.660], [0.500, 0.169, 0.339], [0.500, 0.500, 0.000], [0.500, 0.831, 0.661]],
  "final_energy_ev_per_cell": -36.73,
  "sg": "Cmmm",
  "dos_ef_per_ev_fu": 3.404,
  "e_form_ev_per_atom": -0.236
}

***

No. 14
{
  "formula": "Ti2Mn2Ga",
  "functional": "GGA-PBE",
  "state": "optimized geometry",
  "lattice_angstrom": [[-6.295, -1.279, -0.410], [1.132, -3.990, -4.923], [0.386, -2.605, 2.200]],
  "species": ["Mn", "Mn", "Mn", "Mn", "Ga", "Ga", "Ti", "Ti", "Ti", "Ti"],
  "fractional_positions": [[0.387, 0.887, 0.000], [0.887, 0.613, 0.000], [0.613, 0.113, 0.000], [0.113, 0.387, 0.000], [0.000, 0.000, 0.000], [0.500, 0.500, 0.000], [0.189, 0.689, 0.500], [0.689, 0.811, 0.500], [0.811, 0.311, 0.500], [0.311, 0.189, 0.500]],
  "final_energy_ev_per_cell": -75.66,
  "sg": "P4/mbm",
  "dos_ef_per_ev_fu": 4.332,
  "e_form_ev_per_atom": -0.135
}

***

No. 15
{
  "formula": "Ti6Mn5Ga",
  "functional": "GGA-PBE",
  "state": "optimized geometry",
  "lattice_angstrom": [[4.055, 0.017, -1.183], [-0.832, 5.329, -2.775], [-0.058, 0.364, 7.344]],
  "species": ["Mn", "Mn", "Mn", "Mn", "Mn", "Ga", "Ti", "Ti", "Ti", "Ti", "Ti", "Ti"],
  "fractional_positions": [[0.662, 0.162, 0.325], [0.333, 0.333, 0.666], [0.000, 0.500, 0.000], [0.667, 0.667, 0.334], [0.338, 0.838, 0.675], [0.000, 0.000, 0.000], [0.828, 0.570, 0.656], [0.828, 0.086, 0.656], [0.500, 0.732, 0.000], [0.500, 0.268, 0.000], [0.172, 0.914, 0.344], [0.172, 0.430, 0.344]],
  "final_energy_ev_per_cell": -99.64,
  "sg": "Immm",
  "dos_ef_per_ev_fu": 12.176,
  "e_form_ev_per_atom": -0.283
}

***

No. 16
{
  "formula": "Ti6MnGa2",
  "functional": "GGA-PBE",
  "state": "optimized geometry",
  "lattice_angstrom": [[4.423, 0.000, -0.175], [0.000, 5.906, 0.000], [-1.970, -2.953, 6.313]],
  "species": ["Ti", "Ti", "Ti", "Ti", "Ti", "Ti", "Mn", "Ga", "Ga"],
  "fractional_positions": [[0.150, 0.396, 0.298], [0.850, 0.098, 0.702], [0.850, 0.604, 0.702], [0.500, 0.237, 0.000], [0.150, 0.902, 0.298], [0.500, 0.763, 0.000], [0.000, 0.000, 0.000], [0.675, 0.675, 0.350], [0.325, 0.325, 0.650]],
  "final_energy_ev_per_cell": -62.05,
  "sg": "Immm",
  "dos_ef_per_ev_fu": 11.229,
  "e_form_ev_per_atom": 0.061
}

***

No. 17
{
  "formula": "Ti2Mn2Ga3",
  "functional": "GGA-PBE",
  "state": "optimized geometry",
  "lattice_angstrom": [[-0.809, -3.981, -0.475], [1.814, -0.131, -1.993], [6.106, -4.037, 5.824]],
  "species": ["Ti", "Ti", "Mn", "Mn", "Ga", "Ga", "Ga"],
  "fractional_positions": [[0.577, 0.500, 0.847], [0.423, 0.500, 0.153], [0.713, 0.500, 0.574], [0.287, 0.500, 0.426], [0.840, 0.000, 0.321], [0.000, 0.000, 0.000], [0.160, 0.000, 0.679]],
  "final_energy_ev_per_cell": -44.93,
  "sg": "Cmmm",
  "dos_ef_per_ev_fu": 4.539,
  "e_form_ev_per_atom": -0.245
}

***

No. 18
{
  "formula": "Ti3MnGa3",
  "functional": "GGA-PBE",
  "state": "optimized geometry",
  "lattice_angstrom": [[6.132, 0.128, 0.011], [0.142, 6.131, 0.011], [-0.010, -0.010, 5.992]],
  "species": ["Ti", "Ti", "Ti", "Ti", "Ti", "Ti", "Mn", "Mn", "Ga", "Ga", "Ga", "Ga", "Ga", "Ga"],
  "fractional_positions": [[0.280, 0.280, 0.500], [0.259, 0.741, 0.500], [0.741, 0.259, 0.500], [0.324, 0.676, 0.000], [0.676, 0.324, 0.000], [0.720, 0.720, 0.500], [0.254, 0.254, 0.000], [0.746, 0.746, 0.000], [0.000, 0.000, 0.771], [0.500, 0.000, 0.237], [0.000, 0.500, 0.237], [0.500, 0.000, 0.763], [0.000, 0.500, 0.763], [0.000, 0.000, 0.229]],
  "final_energy_ev_per_cell": -86.45,
  "sg": "Cmmm",
  "dos_ef_per_ev_fu": 5.940,
  "e_form_ev_per_atom": -0.184
}

***

No. 19
{
  "formula": "Ti2MnGa2",
  "functional": "GGA-PBE",
  "state": "optimized geometry",
  "lattice_angstrom": [[3.599, 0.000, 0.000], [0.000, 6.585, 0.000], [0.000, 0.000, 6.585]],
  "species": ["Ti", "Ti", "Ti", "Ti", "Mn", "Mn", "Ga", "Ga", "Ga", "Ga"],
  "fractional_positions": [[0.500, 0.170, 0.670], [0.500, 0.670, 0.830], [0.500, 0.830, 0.330], [0.500, 0.330, 0.170], [0.000, 0.000, 0.000], [0.000, 0.500, 0.500], [0.000, 0.365, 0.865], [0.000, 0.865, 0.635], [0.000, 0.635, 0.135], [0.000, 0.135, 0.365]],
  "final_energy_ev_per_cell": -65.09,
  "sg": "P4/mbm",
  "dos_ef_per_ev_fu": 4.473,
  "e_form_ev_per_atom": -0.307
}

***

No. 20
{
  "formula": "Ti4Mn3Ga",
  "functional": "GGA-PBE",
  "state": "optimized geometry",
  "lattice_angstrom": [[3.048, 0.000, 0.000], [0.000, 4.333, 0.000], [0.000, 0.000, 8.387]],
  "species": ["Mn", "Mn", "Mn", "Ga", "Ti", "Ti", "Ti", "Ti"],
  "fractional_positions": [[0.500, 0.000, 0.249], [0.500, 0.500, 0.500], [0.500, 0.000, 0.751], [0.500, 0.500, 0.000], [0.000, 0.000, 0.500], [0.000, 0.500, 0.734], [0.000, 0.000, 0.000], [0.000, 0.500, 0.266]],
  "final_energy_ev_per_cell": -64.56,
  "sg": "Pmmm",
  "dos_ef_per_ev_fu": 8.036,
  "e_form_ev_per_atom": -0.306
}